Material: Pm2ErGe2
Method: DFT, PBE
State: relaxed

Properties
- symmetry = P4/mbm
- E_tot (eV/f.u.) = -27.26
- ΔH_f (0 K) (eV per atom) = -0.7931
- offset from the most stable computed form (eV per atom) = 0.000
- DOS(E_F) (states/eV/cell) = 8.98
- spin magnetization (μB/cell) = 0.00

a = 7.652 Å, b = 7.652 Å, c = 4.380 Å
α = 90.00°, β = 90.00°, γ = 90.00°
Atoms (fractional coordinates):
Pm1 0.174 0.326 0.000
Pm2 0.326 0.826 0.000
Pm3 0.674 0.174 0.000
Pm4 0.826 0.674 0.000
Er1 0.000 0.000 0.500
Er2 0.500 0.500 0.500
Ge1 0.123 0.623 0.500
Ge2 0.377 0.123 0.500
Ge3 0.623 0.877 0.500
Ge4 0.877 0.377 0.500


Material: TlW5
Method: DFT, PBE
State: relaxed

Properties
- symmetry = Amm2
- E_tot (eV/f.u.) = -62.88
- ΔH_f (0 K) (eV per atom) = 0.7081
- offset from the most stable computed form (eV per atom) = 0.236
- DOS(E_F) (states/eV/cell) = 5.09
- spin magnetization (μB/cell) = 0.00

a = 4.772 Å, b = 8.055 Å, c = 8.055 Å
α = 19.48°, β = 90.00°, γ = 90.00°
Atoms (fractional coordinates):
Tl1 0.000 0.000 0.000
W1 0.000 0.329 0.329
W2 0.000 0.667 0.667
W3 0.500 0.234 0.234
W4 0.500 0.572 0.572
W5 0.500 0.896 0.896